First-principles (GGA+U) data for crystalline ZnWO2 at its relaxed geometry, as listed in Alexandria via LeMat-Bulk.

The structure in POSCAR format:
```
ZnWO2
1.0
-1.610 -0.782 2.392
-5.578 -1.860 -5.809
6.451 -7.995 1.243
W O Zn
4 8 4
Direct
0.010 0.478 0.694
0.585 0.705 0.579
0.415 0.295 0.421
0.990 0.522 0.306
0.476 0.366 0.780
0.296 0.027 0.284
0.402 0.324 0.224
0.598 0.676 0.776
0.704 0.973 0.716
0.092 0.774 0.457
0.908 0.226 0.543
0.524 0.634 0.220
0.711 0.932 0.902
0.289 0.068 0.098
0.253 0.122 0.704
0.747 0.878 0.296
```

Output
Symmetry = P-1, No. 2
Electronic total energy = -90.97 eV for the cell shown
ρ = 7.858 g/cm³